Entry 1:
Here is Pa2Cu2Au after structural relaxation from Alexandria via LeMat-Bulk. Energies are from PBE.

Calculated values
D(E_F) = 6.833 states/eV/f.u.
E_form = -0.58 eV/f.u.
E_tot = -6.21 eV/atom

Structure (CIF):
```
data_Pa2Cu2Au
_chemical_formula_sum 'Pa4 Cu4 Au2'
_symmetry_space_group_name_H-M 'C m m m'
_symmetry_Int_Tables_number 65
_symmetry_space_group_name_Hall '-C 2 2'
_cell_length_a 4.451
_cell_length_b 13.413
_cell_length_c 3.234
_cell_angle_alpha 90.00
_cell_angle_beta 90.00
_cell_angle_gamma 90.00
loop_
_atom_site_label
_atom_site_type_symbol
_atom_site_fract_x
_atom_site_fract_y
_atom_site_fract_z
Pa1 Pa 0.000 0.115 0.000
Cu1 Cu 0.000 0.296 0.500
Au1 Au 0.000 0.500 0.500
```

=====

Entry 2:
Here is PaCuAu11 after structural relaxation from Alexandria via LeMat-Bulk. Energies are from PBE.

Calculated values
D(E_F) = 9.799 states/eV/f.u.
E_form = -0.86 eV/f.u.
E_tot = -3.89 eV/atom

Structure (CIF):
```
data_PaCuAu11
_chemical_formula_sum 'Pa2 Cu2 Au22'
_symmetry_space_group_name_H-M 'C 1 2/m 1'
_symmetry_Int_Tables_number 12
_cell_length_a 5.544
_cell_length_b 13.627
_cell_length_c 7.132
_cell_angle_alpha 90.00
_cell_angle_beta 112.40
_cell_angle_gamma 90.00
loop_
_symmetry_equiv_pos_as_xyz
'x,y,z'
'-x,-y,-z'
'-x,y,-z'
'x,-y,z'
'x+1/2,y+1/2,z'
'-x+1/2,-y+1/2,-z'
'-x+1/2,y+1/2,-z'
'x+1/2,-y+1/2,z'
loop_
_atom_site_label
_atom_site_type_symbol
_atom_site_fract_x
_atom_site_fract_y
_atom_site_fract_z
Pa1 Pa 0.000 0.000 0.000
Cu1 Cu 0.000 0.500 0.500
Au1 Au 0.000 0.000 0.500
Au2 Au 0.094 0.396 0.216
Au3 Au 0.181 0.166 0.349
Au4 Au 0.250 0.250 0.000
```

=====

Entry 3:
Here is Pa3Cu2Au4 after structural relaxation from Alexandria via LeMat-Bulk. Energies are from PBE.

Calculated values
D(E_F) = 7.432 states/eV/f.u.
E_form = -3.28 eV/f.u.
E_tot = -5.90 eV/atom

Structure (CIF):
```
data_Pa3Cu2Au4
_chemical_formula_sum 'Pa6 Cu4 Au8'
_symmetry_space_group_name_H-M 'C 1 2/m 1'
_symmetry_Int_Tables_number 12
_cell_length_a 10.313
_cell_length_b 4.691
_cell_length_c 8.704
_cell_angle_alpha 90.00
_cell_angle_beta 120.90
_cell_angle_gamma 90.00
loop_
_symmetry_equiv_pos_as_xyz
'x,y,z'
'-x,-y,-z'
'-x,y,-z'
'x,-y,z'
'x+1/2,y+1/2,z'
'-x+1/2,-y+1/2,-z'
'-x+1/2,y+1/2,-z'
'x+1/2,-y+1/2,z'
loop_
_atom_site_label
_atom_site_type_symbol
_atom_site_fract_x
_atom_site_fract_y
_atom_site_fract_z
Pa1 Pa 0.000 0.000 0.000
Pa2 Pa 0.166 0.500 0.664
Cu1 Cu 0.109 0.500 0.280
Au1 Au 0.061 0.000 0.386
Au2 Au 0.214 0.500 0.060
```